{
  "formula": "YTl2CrPd",
  "functional": "SCAN",
  "state": "single point on PBEsol structure",
  "lattice_angstrom": [[4.898, 0.000, 0.000], [0.000, 5.080, 0.000], [0.000, 0.000, 5.080]],
  "species": ["Cr", "Tl", "Tl", "Pd", "Y"],
  "fractional_positions": [[0.500, 0.000, 0.000], [0.000, 0.500, 0.000], [0.000, 0.000, 0.500], [0.000, 0.000, 0.000], [0.500, 0.500, 0.500]],
  "sg": "P4/mmm, No. 123",
  "dos_at_fermi_per_ev_cell": 2.92,
  "final_energy_ev_per_atom": -44.571,
  "formation_enthalpy_0k_kj_per_mol_fu": 83
}